MgScTc2: optimized geometry, PBE.

Results
The calculated formation energy is 0.21 eV per atom.

abc: 5.625 8.878 2.674
angles: 90.00 90.00 90.00
Space group Cmmm (No. 65)
One atom of each set of equivalent atoms:
Mg 0.000 0.000 0.000 [2 per cell]
Sc 0.000 0.500 0.000 [2 per cell]
Tc 0.250 0.250 0.500 [4 per cell]